Li3ReGe: optimized geometry, GGA-PBE.

Structure (POSCAR):
```
Li3ReGe
1.0
4.322 0.000 0.000
0.000 4.322 0.000
0.000 0.000 4.322
Li Re Ge
3 1 1
direct
0.000 0.000 0.500
0.000 0.500 0.000
0.500 0.000 0.000
0.500 0.500 0.500
0.000 0.000 0.000
```

Computed properties:
energy above the most stable polymorph in this dataset	0.00	eV per formula unit
M_tot	0.00	μB/f.u.
total DFT energy (no corrections)	-3.336	eV per atom
ρ	5.75	g/cm³
energy of formation	1226	meV/atom